{
  "formula": "LaSmMgOs",
  "functional": "PBE",
  "state": "relaxed",
  "e_tot_ev_per_atom": -5.61,
  "volume_a3_per_atom": 24.46,
  "rho_g_cm3": 8.6,
  "space_group": "F-43m",
  "lattice": [[5.172, 0.000, 0.000], [2.586, 4.479, 0.000], [2.586, 1.493, 4.223]],
  "species": ["Mg", "Os", "Sm", "La"],
  "fractional_positions": [[0.000, 0.000, 0.000], [0.500, 0.500, 0.500], [0.250, 0.250, 0.250], [0.750, 0.750, 0.750]]
}